No. 1
! BeNiMo PBE optimized geometry; values from VASP
&SYSTEM
  ibrav = 0, nat = 6, ntyp = 3
/
ATOMIC_SPECIES
Be 9.01 Be.upf
Mo 95.94 Mo.upf
Ni 58.69 Ni.upf
CELL_PARAMETERS angstrom
-1.7661 1.7831 2.4575
0.7420 -2.5033 2.3496
5.1640 2.9827 1.5471
ATOMIC_POSITIONS crystal
Be 0.0000 0.5000 0.8105
Be 0.5000 0.0000 0.1895
Mo 0.5000 0.5000 0.5000
Ni 0.5000 0.0000 0.8422
Ni 0.0000 0.5000 0.1578
Mo 0.0000 0.0000 0.5000
! formation energy = 0.165 eV/atom
! size of the total moment = 0.000 μB per atom
! crystal system = tetragonal

No. 2
! BeNi2Mo PBE optimized geometry; values from VASP
&SYSTEM
  ibrav = 0, nat = 4, ntyp = 3
/
ATOMIC_SPECIES
Ni 58.69 Ni.upf
Mo 95.94 Mo.upf
Be 9.01 Be.upf
CELL_PARAMETERS angstrom
2.6675 0.0000 0.0000
0.0000 2.6675 0.0000
0.0000 0.0000 6.3360
ATOMIC_POSITIONS crystal
Ni 0.5000 0.5000 0.2803
Mo 0.5000 0.5000 0.7348
Be 0.0000 0.0000 0.4641
Ni 0.0000 0.0000 0.0209
! formation energy = -0.110 eV/atom
! size of the total moment = 0.000 μB per atom
! crystal system = tetragonal

No. 3
! BeNiMo PBE optimized geometry; values from VASP
&SYSTEM
  ibrav = 0, nat = 6, ntyp = 3
/
ATOMIC_SPECIES
Ni 58.69 Ni.upf
Mo 95.94 Mo.upf
Be 9.01 Be.upf
CELL_PARAMETERS angstrom
-3.3128 -2.3019 5.3254
1.9306 -1.0677 1.3680
1.7467 4.0926 0.7380
ATOMIC_POSITIONS crystal
Ni 0.9413 0.1475 0.9011
Ni 0.3082 0.9652 0.7798
Mo 0.2916 0.4733 0.2760
Be 0.6304 0.8037 0.6821
Be 0.0080 0.6151 0.5440
Mo 0.6612 0.2884 0.2065
! formation energy = -0.025 eV/atom
! size of the total moment = 0.000 μB per atom
! crystal system = monoclinic

No. 4
! BeNiMo2 PBE optimized geometry; values from VASP
&SYSTEM
  ibrav = 0, nat = 4, ntyp = 3
/
ATOMIC_SPECIES
Ni 58.69 Ni.upf
Mo 95.94 Mo.upf
Be 9.01 Be.upf
CELL_PARAMETERS angstrom
4.8663 -0.0145 -0.0679
4.1821 2.4883 -0.0679
1.5234 0.4165 4.1468
ATOMIC_POSITIONS crystal
Ni 0.5317 0.5317 0.5117
Mo 0.7686 0.7686 0.7060
Mo 0.9741 0.9741 0.0550
Be 0.2256 0.2256 0.2273
! formation energy = 0.030 eV/atom
! size of the total moment = 0.000 μB per atom
! crystal system = monoclinic

No. 5
! BeNiMo PBE optimized geometry; values from VASP
&SYSTEM
  ibrav = 0, nat = 6, ntyp = 3
/
ATOMIC_SPECIES
Mo 95.94 Mo.upf
Be 9.01 Be.upf
Ni 58.69 Ni.upf
CELL_PARAMETERS angstrom
7.1612 -0.0013 0.0004
0.1882 2.5717 -0.0002
-0.0001 0.0003 3.8656
ATOMIC_POSITIONS crystal
Mo 0.7315 0.6853 0.6482
Be 0.0568 0.2874 0.6482
Ni 0.9002 0.0975 0.1483
Ni 0.2131 0.4862 0.1484
Mo 0.3823 0.8970 0.6483
Be 0.5567 0.2909 0.1482
! formation energy = -0.020 eV/atom
! size of the total moment = 0.000 μB per atom
! crystal system = monoclinic

No. 6
! BeNiMo2 PBE optimized geometry; values from VASP
&SYSTEM
  ibrav = 0, nat = 4, ntyp = 3
/
ATOMIC_SPECIES
Mo 95.94 Mo.upf
Ni 58.69 Ni.upf
Be 9.01 Be.upf
CELL_PARAMETERS angstrom
-2.5370 1.8104 0.1543
-1.2708 -1.9574 2.0715
2.2533 2.8131 4.0405
ATOMIC_POSITIONS crystal
Mo 0.0000 0.0000 0.9857
Mo 0.5000 0.5000 0.2459
Ni 0.0000 0.0000 0.5297
Be 0.5000 0.5000 0.7386
! formation energy = 0.082 eV/atom
! size of the total moment = 0.000 μB per atom
! crystal system = tetragonal

No. 7
! BeNi2Mo PBE optimized geometry; values from VASP
&SYSTEM
  ibrav = 0, nat = 4, ntyp = 3
/
ATOMIC_SPECIES
Be 9.01 Be.upf
Ni 58.69 Ni.upf
Mo 95.94 Mo.upf
CELL_PARAMETERS angstrom
-2.3480 -0.8164 -0.9211
-1.0360 -1.3356 3.8248
-2.6416 2.4947 4.5226
ATOMIC_POSITIONS crystal
Be 0.5000 0.5000 0.5000
Ni 0.0000 0.0000 0.0000
Mo 0.0000 0.0000 0.5000
Ni 0.5000 0.5000 0.0000
! formation energy = 0.101 eV/atom
! size of the total moment = 0.000 μB per atom
! crystal system = monoclinic

No. 8
! BeNiMo PBE optimized geometry; values from VASP
&SYSTEM
  ibrav = 0, nat = 6, ntyp = 3
/
ATOMIC_SPECIES
Be 9.01 Be.upf
Mo 95.94 Mo.upf
Ni 58.69 Ni.upf
CELL_PARAMETERS angstrom
5.8406 -0.0002 -0.0039
0.0000 3.2012 0.0000
-1.4268 0.0000 3.8130
ATOMIC_POSITIONS crystal
Be 0.1053 0.2074 0.4669
Mo 0.8014 0.2074 0.8127
Ni 0.1613 0.7075 0.9908
Ni 0.8256 0.7074 0.3245
Mo 0.4500 0.7074 0.6356
Be 0.4971 0.2073 0.1592
! formation energy = -0.071 eV/atom
! size of the total moment = 0.000 μB per atom
! crystal system = monoclinic

No. 9
! BeNi2Mo PBE optimized geometry; values from VASP
&SYSTEM
  ibrav = 0, nat = 4, ntyp = 3
/
ATOMIC_SPECIES
Be 9.01 Be.upf
Ni 58.69 Ni.upf
Mo 95.94 Mo.upf
CELL_PARAMETERS angstrom
4.7270 0.0153 0.0068
3.9496 2.5973 0.0068
1.8094 0.5448 3.6879
ATOMIC_POSITIONS crystal
Be 0.2500 0.2500 0.2500
Ni 0.5259 0.5259 0.4742
Mo 0.7500 0.7500 0.7500
Ni 0.9741 0.9741 0.0258
! formation energy = -0.062 eV/atom
! size of the total moment = 0.000 μB per atom
! crystal system = orthorhombic

No. 10
! BeNi2Mo PBE optimized geometry; values from VASP
&SYSTEM
  ibrav = 0, nat = 4, ntyp = 3
/
ATOMIC_SPECIES
Be 9.01 Be.upf
Mo 95.94 Mo.upf
Ni 58.69 Ni.upf
CELL_PARAMETERS angstrom
4.0154 0.0000 0.0000
0.0000 2.5385 -0.0451
0.0000 0.6868 4.5976
ATOMIC_POSITIONS crystal
Be 0.0000 0.5001 0.4320
Mo 0.5000 0.7166 0.7854
Ni 0.0000 0.1562 0.9876
Ni 0.5000 0.1271 0.2950
! formation energy = -0.009 eV/atom
! size of the total moment = 0.000 μB per atom
! crystal system = monoclinic

No. 11
! BeNiMo PBE optimized geometry; values from VASP
&SYSTEM
  ibrav = 0, nat = 6, ntyp = 3
/
ATOMIC_SPECIES
Be 9.01 Be.upf
Mo 95.94 Mo.upf
Ni 58.69 Ni.upf
CELL_PARAMETERS angstrom
-0.6262 3.0660 -5.2169
-0.0836 -2.1120 -2.0733
-3.8471 -2.8100 0.9028
ATOMIC_POSITIONS crystal
Be 0.0567 0.7605 0.8149
Mo 0.2366 0.9082 0.3398
Mo 0.8770 0.6129 0.2900
Be 0.5569 0.2604 0.3151
Ni 0.3856 0.0738 0.8580
Ni 0.7279 0.4473 0.7718
! formation energy = -0.046 eV/atom
! size of the total moment = 0.000 μB per atom
! crystal system = monoclinic

No. 12
! BeNiMo2 PBE optimized geometry; values from VASP
&SYSTEM
  ibrav = 0, nat = 4, ntyp = 3
/
ATOMIC_SPECIES
Mo 95.94 Mo.upf
Ni 58.69 Ni.upf
Be 9.01 Be.upf
CELL_PARAMETERS angstrom
-1.9759 5.1003 -2.1812
-1.6428 -3.9863 -1.4747
-2.4339 0.7283 0.7272
ATOMIC_POSITIONS crystal
Mo 0.5000 0.0000 0.5000
Ni 0.0000 0.5000 0.5000
Be 0.5000 0.5000 0.0000
Mo 0.0000 0.0000 0.0000
! formation energy = 0.088 eV/atom
! size of the total moment = 0.039 μB per atom
! crystal system = monoclinic

No. 13
! BeNiMo PBE optimized geometry; values from VASP
&SYSTEM
  ibrav = 0, nat = 6, ntyp = 3
/
ATOMIC_SPECIES
Mo 95.94 Mo.upf
Be 9.01 Be.upf
Ni 58.69 Ni.upf
CELL_PARAMETERS angstrom
4.3626 -0.0010 -0.0005
-2.1824 3.9769 -0.0018
-2.1828 0.1088 3.9795
ATOMIC_POSITIONS crystal
Mo 0.3468 0.2533 0.1581
Be 0.2462 0.0500 0.6609
Be 0.7460 0.0493 0.6616
Ni 0.1712 0.5736 0.4877
Mo 0.8470 0.5467 0.8650
Ni 0.6721 0.8769 0.1861
! formation energy = -0.069 eV/atom
! size of the total moment = 0.000 μB per atom
! crystal system = orthorhombic

No. 14
! BeNi2Mo PBE optimized geometry; values from VASP
&SYSTEM
  ibrav = 0, nat = 4, ntyp = 3
/
ATOMIC_SPECIES
Be 9.01 Be.upf
Ni 58.69 Ni.upf
Mo 95.94 Mo.upf
CELL_PARAMETERS angstrom
-2.0975 -2.7165 2.0749
2.9407 -0.1822 2.7209
-1.6551 3.5265 -0.9261
ATOMIC_POSITIONS crystal
Be 0.5001 0.5000 0.0000
Ni 0.0000 0.0000 0.0000
Ni 0.2500 0.7500 0.5000
Mo 0.7500 0.2500 0.5000
! formation energy = -0.038 eV/atom
! size of the total moment = 0.000 μB per atom
! crystal system = orthorhombic

No. 15
! BeNi2Mo PBE optimized geometry; values from VASP
&SYSTEM
  ibrav = 0, nat = 4, ntyp = 3
/
ATOMIC_SPECIES
Mo 95.94 Mo.upf
Ni 58.69 Ni.upf
Be 9.01 Be.upf
CELL_PARAMETERS angstrom
-3.1885 -2.4397 -1.6935
-0.9954 -3.7959 -1.8938
-1.1595 -2.3976 3.5383
ATOMIC_POSITIONS crystal
Mo 0.7502 0.7502 0.7724
Ni 0.2438 0.2438 0.2826
Ni 0.9955 0.9955 0.0015
Be 0.5105 0.5105 0.4434
! formation energy = -0.008 eV/atom
! size of the total moment = 0.000 μB per atom
! crystal system = monoclinic

No. 16
! BeNiMo2 PBE optimized geometry; values from VASP
&SYSTEM
  ibrav = 0, nat = 4, ntyp = 3
/
ATOMIC_SPECIES
Mo 95.94 Mo.upf
Ni 58.69 Ni.upf
Be 9.01 Be.upf
CELL_PARAMETERS angstrom
-0.3128 4.1915 1.5831
-1.6455 -1.5835 3.8675
2.3779 -0.1772 0.9391
ATOMIC_POSITIONS crystal
Mo 0.5000 0.5000 0.0000
Ni 0.5000 0.0000 0.5000
Mo 0.0000 0.0000 0.0000
Be 0.0000 0.5000 0.5000
! formation energy = 0.161 eV/atom
! size of the total moment = 0.000 μB per atom
! crystal system = tetragonal

No. 17
! BeNiMo PBE optimized geometry; values from VASP
&SYSTEM
  ibrav = 0, nat = 6, ntyp = 3
/
ATOMIC_SPECIES
Be 9.01 Be.upf
Ni 58.69 Ni.upf
Mo 95.94 Mo.upf
CELL_PARAMETERS angstrom
3.3314 -0.0021 0.0042
-1.6643 4.1277 -0.0359
-0.0013 0.0529 5.1559
ATOMIC_POSITIONS crystal
Be 0.7644 0.7989 0.3671
Ni 0.0922 0.4548 0.3462
Be 0.9980 0.2663 0.7597
Ni 0.3918 0.0532 0.5667
Mo 0.4004 0.0709 0.0857
Mo 0.7030 0.6764 0.8645
! formation energy = -0.006 eV/atom
! size of the total moment = 0.000 μB per atom
! crystal system = monoclinic

No. 18
! BeNiMo PBE optimized geometry; values from VASP
&SYSTEM
  ibrav = 0, nat = 6, ntyp = 3
/
ATOMIC_SPECIES
Ni 58.69 Ni.upf
Be 9.01 Be.upf
Mo 95.94 Mo.upf
CELL_PARAMETERS angstrom
-2.7501 2.8817 5.2817
-1.9102 -1.8545 0.2257
2.3328 -2.1147 2.3674
ATOMIC_POSITIONS crystal
Ni 0.9893 0.7094 0.0080
Be 0.9378 0.2127 0.5081
Ni 0.2138 0.6683 0.5080
Mo 0.6076 0.7602 0.5083
Be 0.7308 0.2484 0.0084
Mo 0.3613 0.1454 0.0081
! formation energy = -0.117 eV/atom
! size of the total moment = 0.000 μB per atom
! crystal system = monoclinic

No. 19
! BeNiMo2 PBE optimized geometry; values from VASP
&SYSTEM
  ibrav = 0, nat = 4, ntyp = 3
/
ATOMIC_SPECIES
Mo 95.94 Mo.upf
Ni 58.69 Ni.upf
Be 9.01 Be.upf
CELL_PARAMETERS angstrom
-0.4587 -1.0497 -2.4107
-1.7738 -1.6828 1.0703
-5.1881 4.7745 -1.0917
ATOMIC_POSITIONS crystal
Mo 0.0000 0.0000 0.9861
Ni 0.5000 0.5000 0.2500
Mo 0.0000 0.0000 0.5139
Be 0.5000 0.5000 0.7500
! formation energy = 0.000 eV/atom
! size of the total moment = 0.000 μB per atom
! crystal system = tetragonal

No. 20
! Be2NiMo2 PBE optimized geometry; values from VASP
&SYSTEM
  ibrav = 0, nat = 5, ntyp = 3
/
ATOMIC_SPECIES
Be 9.01 Be.upf
Mo 95.94 Mo.upf
Ni 58.69 Ni.upf
CELL_PARAMETERS angstrom
2.7470 0.0000 0.0000
0.0000 2.7470 0.0000
1.3735 1.3735 7.9211
ATOMIC_POSITIONS crystal
Be 0.7500 0.2500 0.5000
Mo 0.3842 0.3842 0.2317
Ni 0.0000 0.0000 0.0000
Be 0.2500 0.7500 0.5000
Mo 0.6158 0.6158 0.7683
! formation energy = 0.238 eV/atom
! size of the total moment = 0.000 μB per atom
! crystal system = tetragonal